The following is a GGA+U calculation of a geometry-optimized BaNdNiO4 structure, from the Alexandria database.

a = 3.913 Å, b = 3.913 Å, c = 6.985 Å
α = 106.27°, β = 106.27°, γ = 90.00°
Each line ends with the local moment (μB).
Sites, in units of the cell vectors:
O  0.485  0.985  0.971  -0.10
O  0.843  0.843  0.686  -0.14
O  0.179  0.179  0.358  -0.04
O  0.985  0.485  0.971  -0.10
Ni  0.999  0.999  0.997  1.42
Ba  0.644  0.644  0.289  -0.01
Nd  0.365  0.365  0.729  0.01

The value obtained for the total energy is -6.3715 eV/atom. The value obtained for the density of states at the Fermi level is 0.72 states/eV per cell. Its size of the total moment is 1.0 μB per cell.